Here is a geometry-optimized Ca2InRh structure from Alexandria via LeMat-Bulk. Energies are from PBE.

Cell lengths 6.3551, 6.3551, 5.1718 Å; angles 113.63, 113.63, 32.27 degrees
With the nearest neighbours (Å) after each atom.
Atoms (fractional coordinates):
Ca 0.0000 0.0000 0.0000  2 Rh 2.99, 4 In 3.31-3.32
Ca 0.1983 0.1983 0.6971  4 Rh 3.14, 2 Ca 3.39-3.40, 2 In 3.41-3.45
In 0.4020 0.4020 0.4029  2 Rh 2.71
Rh 0.7170 0.7170 0.2150  2 In 2.71, 2 Ca 2.99

Output
V (Å³ per atom): 25.3
Energy of formation from the pure elements (eV per formula unit): -1.4
Total magnetic moment (μB/cell): 0.0
E_tot (eV/atom): -3.877